1.
Computed, not measured: a relaxed GdZnPd crystal at the GGA-PBE level of DFT.

Final energy in eV per atom: -4.163
Formation energy in eV per atom: -0.465

Unit cell a=4.8364 b=4.8364 c=5.9008 alpha=90.00 beta=90.00 gamma=120.00
With the nearest neighbours (Å) after each atom.
Space group P6_3/mmc (No. 194)
Symmetry-distinct sites (fractional):
Gd (0.3333, 0.6667, 0.2500)  5 Zn 2.79-2.95
Zn (0.3333, 0.6667, 0.7500)  5 Gd 2.79-2.95
Pd (0.0000, 0.0000, 0.0000)  2 Pd 2.95, 6 Gd 3.16, 6 Zn 3.16

2.
Computed, not measured: a relaxed TbBeW crystal at the GGA-PBE level of DFT.

Final energy in eV per atom: -6.308

Unit cell a=6.0814 b=6.0814 c=6.0814 alpha=90.00 beta=90.00 gamma=90.00
With the nearest neighbours (Å) after each atom.
Space group F-43m (No. 216)
Symmetry-distinct sites (fractional):
Tb (0.0000, 0.0000, 0.0000)  4 Be 2.63
Be (0.2500, 0.2500, 0.2500)  4 Tb 2.63, 4 W 2.63
W (0.0000, 0.0000, 0.5000)  4 Be 2.63

3.
Computed, not measured: a relaxed Tb2Fe17C3 crystal at the GGA-PBE level of DFT.

Final energy in eV per atom: -8.177

Unit cell a=8.6288 b=8.6288 c=12.4921 alpha=90.00 beta=90.00 gamma=120.00
With the nearest neighbours (Å) after each atom.
Space group R-3m (No. 166, hexagonal axes)
Symmetry-distinct sites (fractional):
Tb (0.0000, 0.0000, 0.1570)  3 C 2.49
Fe (0.0000, 0.0000, 0.4048)  7 Fe 2.38-2.65
Fe (0.0000, 0.2837, 0.5000)  1 C 1.87
Fe (0.0000, 0.5000, 0.0000)  10 Fe 2.44-2.65
Fe (0.0083, 0.5042, 0.3471)  1 C 1.91
C (0.0000, 0.5000, 0.5000)  4 Fe 1.87-1.91

4.
Computed, not measured: a relaxed MgFe crystal at the GGA-PBE level of DFT.

Final energy in eV per atom: -4.716

Unit cell a=4.3524 b=8.9565 c=4.7573 alpha=90.00 beta=90.00 gamma=90.00
With the nearest neighbours (Å) after each atom.
Space group Pmc2_1 (No. 26)
Symmetry-distinct sites (fractional):
Mg (0.0000, 0.0808, 0.0000)  9 Fe 2.62-2.75, 3 Mg 2.78-2.87
Mg (0.0000, 0.3983, 0.9159)  3 Fe 2.60-2.87, 1 Mg 2.87
Mg (0.5000, 0.3790, 0.3383)  4 Fe 2.67-2.70, 4 Mg 2.97
Fe (0.0000, 0.2203, 0.4848)  6 Mg 2.60-2.75, 4 Fe 2.61
Fe (0.5000, 0.0777, 0.3407)  4 Fe 2.39-2.61
Fe (0.5000, 0.2004, 0.7868)  4 Fe 2.39-2.61, 3 Mg 2.63-2.67

5.
Computed, not measured: a relaxed GdDyNi2C2N2 crystal at the GGA-PBE level of DFT.

Final energy in eV per atom: -7.572

Unit cell a=3.4725 b=3.4725 c=7.3372 alpha=90.00 beta=90.00 gamma=90.00
With the nearest neighbours (Å) after each atom.
Space group P4mm (No. 99)
Symmetry-distinct sites (fractional):
Gd (0.0000, 0.0000, 0.0000)  5 N 2.37-2.46
Dy (0.5000, 0.5000, 0.6535)  5 N 2.35-2.46
Ni (0.0000, 0.5000, 0.3270)  4 C 2.09-2.10
C (0.0000, 0.0000, 0.4856)  1 N 1.40
C (0.5000, 0.5000, 0.1650)  1 N 1.40
N (0.0000, 0.0000, 0.6766)  1 C 1.40
N (0.5000, 0.5000, 0.9739)  1 C 1.40

6.
Computed, not measured: a relaxed SrLiTa crystal at the GGA-PBE level of DFT.

Final energy in eV per atom: -3.250

Unit cell a=7.4709 b=7.4709 c=7.4709 alpha=90.00 beta=90.00 gamma=90.00
With the nearest neighbours (Å) after each atom.
Space group F-43m (No. 216)
Symmetry-distinct sites (fractional):
Sr (0.0000, 0.0000, 0.0000)  4 Ta 3.24, 4 Li 3.24
Li (0.2500, 0.2500, 0.7500)  4 Sr 3.24
Ta (0.2500, 0.2500, 0.2500)  4 Sr 3.24

7.
Computed, not measured: a relaxed ScTaGa crystal at the GGA-PBE level of DFT.

Final energy in eV per atom: -6.325

Unit cell a=6.4909 b=6.4909 c=6.4909 alpha=90.00 beta=90.00 gamma=90.00
With the nearest neighbours (Å) after each atom.
Space group F-43m (No. 216)
Symmetry-distinct sites (fractional):
Sc (0.0000, 0.0000, 0.0000)  4 Ta 2.81
Ta (0.2500, 0.2500, 0.7500)  4 Sc 2.81, 4 Ga 2.81
Ga (0.0000, 0.0000, 0.5000)  4 Ta 2.81

8.
Computed, not measured: a relaxed SnPd3 crystal at the GGA-PBE level of DFT.

Final energy in eV per atom: -5.161

Unit cell a=5.6150 b=5.6150 c=45.9378 alpha=90.00 beta=90.00 gamma=120.00
With the nearest neighbours (Å) after each atom.
Space group R-3m (No. 166, hexagonal axes)
Symmetry-distinct sites (fractional):
Sn (0.0000, 0.0000, 0.0772)  9 Pd 2.81-2.88
Sn (0.0000, 0.0000, 0.3071)  12 Pd 2.81-2.87
Pd (0.0004, 0.5002, 0.0763)  6 Pd 2.80-2.84, 3 Sn 2.81-2.82
Pd (0.0003, 0.5002, 0.3079)  8 Pd 2.80-2.84, 4 Sn 2.81-2.88

9.
Computed, not measured: a relaxed ZrH2O3 crystal at the GGA-PBE level of DFT.

Final energy in eV per atom: -7.023

Unit cell a=5.7279 b=8.7166 c=5.6717 alpha=90.00 beta=116.63 gamma=90.00
With the nearest neighbours (Å) after each atom.
Space group Cc (No. 9)
Symmetry-distinct sites (fractional):
Zr (0.0000, 0.1116, 0.0000)  4 O 1.94-2.07
H (0.0515, 0.3371, 0.5602)  1 O 0.98
H (0.0846, 0.4803, 0.0957)  1 O 1.01
O (0.1517, 0.0676, 0.7538)  2 Zr 1.99-2.04
O (0.1668, 0.2934, 0.2021)  1 H 1.73
O (0.1785, 0.4185, 0.6508)  2 H 0.98-1.01

10.
Computed, not measured: a relaxed CdSbW crystal at the GGA-PBE level of DFT.

Final energy in eV per atom: -4.879

Unit cell a=6.5041 b=6.5041 c=6.5041 alpha=90.00 beta=90.00 gamma=90.00
With the nearest neighbours (Å) after each atom.
Space group F-43m (No. 216)
Symmetry-distinct sites (fractional):
Cd (0.0000, 0.0000, 0.0000)  4 Sb 2.82
Sb (0.2500, 0.2500, 0.2500)  4 Cd 2.82, 4 W 2.82
W (0.0000, 0.0000, 0.5000)  4 Sb 2.82

11.
Computed, not measured: a relaxed Rb2Dy crystal at the GGA-PBE level of DFT.

Final energy in eV per atom: -0.745

Unit cell a=18.7387 b=18.7387 c=18.7387 alpha=90.00 beta=90.00 gamma=90.00
With the nearest neighbours (Å) after each atom.
Space group Fd-3m (No. 227, origin choice 2)
Symmetry-distinct sites (fractional):
Rb (0.0000, 0.0000, 0.0000)  2 Dy 4.06
Dy (0.1250, 0.1250, 0.1250)  4 Rb 4.06

12.
Computed, not measured: a relaxed ZrSn2Mo2 crystal at the GGA-PBE level of DFT.

Final energy in eV per atom: -7.289

Unit cell a=4.9889 b=4.9889 c=8.7355 alpha=90.00 beta=90.00 gamma=90.00
With the nearest neighbours (Å) after each atom.
Space group I4/mmm (No. 139)
Symmetry-distinct sites (fractional):
Zr (0.0000, 0.0000, 0.0000)  2 Mo 3.27, 8 Sn 3.32
Sn (0.0000, 0.5000, 0.2500)  4 Mo 2.72
Mo (0.0000, 0.0000, 0.3744)  1 Mo 2.19